# 1
A plane-wave DFT calculation with GGA-PBE was carried out for a relaxed structure of Ba2Li2Ge.

Unit cell a=7.4454 b=7.4454 c=5.3941 alpha=90.00 beta=90.00 gamma=90.00
Fractional positions:
Ba 0.1978 0.3022 0.0000
Ba 0.3022 0.8022 0.0000
Ba 0.6978 0.1978 0.0000
Ba 0.8022 0.6978 0.0000
Li 0.1407 0.6407 0.5000
Li 0.3593 0.1407 0.5000
Li 0.6407 0.8593 0.5000
Li 0.8593 0.3593 0.5000
Ge 0.0000 0.0000 0.5000
Ge 0.5000 0.5000 0.5000

## Properties
DOS(E_F), states/eV per cell: 1.4
M_tot, μB per cell: 0.000
Energy relative to the elements, eV per atom: -0.139
Offset from the most stable computed form, meV/atom: 107

# 2
A plane-wave DFT calculation with GGA-PBE was carried out for a relaxed structure of TbNd3Th2As6.

Unit cell a=9.4988 b=9.4988 c=8.4860 alpha=103.04 beta=103.04 gamma=25.86
Fractional positions:
Tb 0.0000 0.0000 0.0000
Nd 0.0000 0.0000 0.5000
Nd 0.3339 0.3339 0.1657
Nd 0.6661 0.6661 0.8343
Th 0.3351 0.3351 0.6698
Th 0.6649 0.6649 0.3302
As 0.1645 0.1645 0.0841
As 0.1678 0.1678 0.5813
As 0.5005 0.5005 0.2447
As 0.4995 0.4995 0.7553
As 0.8322 0.8322 0.4187
As 0.8355 0.8355 0.9159

## Properties
DOS(E_F), states/eV per cell: 4.2
M_tot, μB per cell: 0.000
Energy relative to the elements, eV per atom: -1.498

# 3
A plane-wave DFT calculation with GGA-PBE was carried out for a relaxed structure of Dy6TmZn.

Unit cell a=6.2289 b=6.2289 c=6.2289 alpha=95.27 beta=95.27 gamma=95.27
Fractional positions:
Dy 0.0428 0.7627 0.5742
Dy 0.2373 0.4258 0.9572
Dy 0.4258 0.9572 0.2373
Dy 0.5742 0.0428 0.7627
Dy 0.7627 0.5742 0.0428
Dy 0.9572 0.2373 0.4258
Tm 0.5000 0.5000 0.5000
Zn 0.0000 0.0000 0.0000

## Properties
DOS(E_F), states/eV per cell: 10.8
M_tot, μB per cell: 0.001
Energy relative to the elements, eV per atom: 0.045

# 4
A plane-wave DFT calculation with GGA-PBE was carried out for a relaxed structure of CeCdSbAu.

Unit cell a=7.3352 b=7.3352 c=7.3352 alpha=90.00 beta=90.00 gamma=90.00
Fractional positions:
Ce 0.0000 0.0000 0.0000
Ce 0.0000 0.5000 0.5000
Ce 0.5000 0.0000 0.5000
Ce 0.5000 0.5000 0.0000
Cd 0.0000 0.0000 0.5000
Cd 0.0000 0.5000 0.0000
Cd 0.5000 0.0000 0.0000
Cd 0.5000 0.5000 0.5000
Sb 0.2500 0.2500 0.7500
Sb 0.2500 0.7500 0.2500
Sb 0.7500 0.2500 0.2500
Sb 0.7500 0.7500 0.7500
Au 0.2500 0.2500 0.2500
Au 0.2500 0.7500 0.7500
Au 0.7500 0.2500 0.7500
Au 0.7500 0.7500 0.2500

## Properties
DOS(E_F), states/eV per cell: 26.9
Formation energy from raw total energies, eV per atom: -0.479
M_tot, μB per cell: 3.455

# 5
A plane-wave DFT calculation with GGA-PBE was carried out for a relaxed structure of Pm2NdAu2.

Unit cell a=8.4025 b=8.4025 c=3.8983 alpha=90.00 beta=90.00 gamma=90.00
Fractional positions:
Pm 0.1643 0.3357 0.0000
Pm 0.3357 0.8357 0.0000
Pm 0.6643 0.1643 0.0000
Pm 0.8357 0.6643 0.0000
Nd 0.0000 0.0000 0.5000
Nd 0.5000 0.5000 0.5000
Au 0.1287 0.6287 0.5000
Au 0.3713 0.1287 0.5000
Au 0.6287 0.8713 0.5000
Au 0.8713 0.3713 0.5000

## Properties
DOS(E_F), states/eV per cell: 10.6
M_tot, μB per cell: 0.000
Energy relative to the elements, eV per atom: -0.645

# 6
A plane-wave DFT calculation with GGA-PBE was carried out for a relaxed structure of TcSn3Pd.

Unit cell a=5.1092 b=5.1092 c=5.1092 alpha=90.00 beta=90.00 gamma=90.00
Fractional positions:
Tc 0.0000 0.0000 0.0000
Sn 0.0000 0.0000 0.5000
Sn 0.0000 0.5000 0.0000
Sn 0.5000 0.0000 0.0000
Pd 0.5000 0.5000 0.5000

## Properties
DOS(E_F), states/eV per cell: 13.1
M_tot, μB per cell: 0.000
Energy relative to the elements, eV per atom: 0.376
Offset from the most stable computed form, meV/atom: 0

# 7
A plane-wave DFT calculation with GGA-PBE was carried out for a relaxed structure of ZrReAgO6.

Unit cell a=5.3918 b=5.3918 c=5.0040 alpha=90.00 beta=90.00 gamma=120.00
Fractional positions:
Zr 0.0000 0.0000 0.0000
Re 0.6667 0.3333 0.9322
Ag 0.3333 0.6667 0.4491
O 0.3563 0.0559 0.7407
O 0.3675 0.3121 0.1726
O 0.6879 0.0554 0.1726
O 0.6996 0.6437 0.7407
O 0.9441 0.3004 0.7407
O 0.9446 0.6325 0.1726

## Properties
Formation energy from raw total energies, eV per atom: -1.794
M_tot, μB per cell: 0.000

# 8
A plane-wave DFT calculation with GGA-PBE was carried out for a relaxed structure of NaSn2BiN.

Unit cell a=4.8306 b=4.8306 c=5.2107 alpha=90.00 beta=90.00 gamma=90.00
Fractional positions:
Na 0.0000 0.0000 0.0000
Sn 0.0000 0.5000 0.5000
Sn 0.5000 0.0000 0.5000
Bi 0.5000 0.5000 0.0000
N 0.5000 0.5000 0.5000

## Properties
DOS(E_F), states/eV per cell: 3.4
Formation energy from raw total energies, eV per atom: 0.367
M_tot, μB per cell: 0.000

# 9
A plane-wave DFT calculation with GGA-PBE was carried out for a relaxed structure of CdCu2Tc.

Unit cell a=8.8989 b=2.6370 c=5.1859 alpha=90.00 beta=97.40 gamma=90.00
Fractional positions:
Cd 0.0000 0.0000 0.0000
Cd 0.5000 0.5000 0.0000
Cu 0.2458 0.0000 0.7159
Cu 0.2542 0.5000 0.2841
Cu 0.7458 0.5000 0.7159
Cu 0.7542 0.0000 0.2841
Tc 0.0000 0.5000 0.5000
Tc 0.5000 0.0000 0.5000

## Properties
DOS(E_F), states/eV per cell: 8.0
M_tot, μB per cell: 0.005
Energy relative to the elements, eV per atom: 0.333

# 10
A plane-wave DFT calculation with GGA-PBE was carried out for a relaxed structure of TcSbRu2.

Unit cell a=5.7467 b=7.4131 c=2.9266 alpha=90.00 beta=90.00 gamma=90.00
Fractional positions:
Tc 0.0000 0.0000 0.0000
Tc 0.5000 0.5000 0.0000
Sb 0.0000 0.5000 0.0000
Sb 0.5000 0.0000 0.0000
Ru 0.2500 0.2500 0.5000
Ru 0.2500 0.7500 0.5000
Ru 0.7500 0.2500 0.5000
Ru 0.7500 0.7500 0.5000

## Properties
DOS(E_F), states/eV per cell: 10.0
Formation energy from raw total energies, eV per atom: 0.240
M_tot, μB per cell: 0.000

# 11
A plane-wave DFT calculation with GGA-PBE was carried out for a relaxed structure of Nd4Tm5Hg.

Unit cell a=3.5988 b=3.5988 c=23.9859 alpha=90.00 beta=90.00 gamma=90.00
Fractional positions:
Nd 0.0000 0.0000 0.1043
Nd 0.0000 0.0000 0.3141
Nd 0.0000 0.0000 0.6859
Nd 0.0000 0.0000 0.8957
Tm 0.5000 0.5000 0.0000
Tm 0.5000 0.5000 0.2093
Tm 0.5000 0.5000 0.4195
Tm 0.5000 0.5000 0.5805
Tm 0.5000 0.5000 0.7907
Hg 0.0000 0.0000 0.5000

## Properties
DOS(E_F), states/eV per cell: 13.0
M_tot, μB per cell: 0.000
Energy relative to the elements, eV per atom: -0.081

# 12
A plane-wave DFT calculation with GGA-PBE was carried out for a relaxed structure of CeNdPbAu.

Unit cell a=7.6795 b=7.6795 c=7.6795 alpha=90.00 beta=90.00 gamma=90.00
Fractional positions:
Ce 0.0000 0.0000 0.0000
Ce 0.0000 0.5000 0.5000
Ce 0.5000 0.0000 0.5000
Ce 0.5000 0.5000 0.0000
Nd 0.0000 0.0000 0.5000
Nd 0.0000 0.5000 0.0000
Nd 0.5000 0.0000 0.0000
Nd 0.5000 0.5000 0.5000
Pb 0.2500 0.2500 0.7500
Pb 0.2500 0.7500 0.2500
Pb 0.7500 0.2500 0.2500
Pb 0.7500 0.7500 0.7500
Au 0.2500 0.2500 0.2500
Au 0.2500 0.7500 0.7500
Au 0.7500 0.2500 0.7500
Au 0.7500 0.7500 0.2500

## Properties
DOS(E_F), states/eV per cell: 38.3
M_tot, μB per cell: 8.243
Energy relative to the elements, eV per atom: -0.527

Number 11 is which compound?
Nd4Tm5Hg

Which value of M_tot does entry 6 give?
0.000 μB per cell